# 1
4
Lattice="0.000 3.003 3.003 3.003 0.000 3.003 3.003 3.003 0.000" Properties=species:S:1:pos:R:3 comment="CuReP2, optimized geometry, DFT GGA-PBE" magnetic_moment_mub_per_fu=0.0 ef_mev_per_atom=704 relative_energy_mev_per_atom=759 n_ef_per_ev_fu=4.81 pbc="T T T"
Cu 0.000 0.000 0.000
Re 1.502 1.502 1.502
P 3.003 3.003 3.003
P 4.505 4.505 4.505


# 2
4
Lattice="4.188 0.000 0.000 0.000 4.141 0.000 -0.027 0.000 6.031" Properties=species:S:1:pos:R:3 comment="ZrAgTe2, optimized geometry, DFT GGA-PBE" formation_energy_uncorrected_ev_per_atom=-0.3355 magnetic_moment_mub_per_fu=0.0 n_ef_per_ev_fu=2.29 pbc="T T T"
Zr 0.000 0.000 0.000
Ag 2.081 2.070 3.016
Te -0.013 0.000 3.016
Te 2.094 2.070 0.000


# 3
4
Lattice="0.000 3.159 3.159 3.159 0.000 3.159 3.159 3.159 0.000" Properties=species:S:1:pos:R:3 comment="ZrCu2Au, optimized geometry, DFT GGA-PBE" magnetic_moment_mub_per_fu=0.0 ef_mev_per_atom=-261 relative_energy_mev_per_atom=0 n_ef_per_ev_fu=2.75 pbc="T T T"
Zr 0.000 0.000 0.000
Cu 1.580 1.580 1.580
Cu 4.739 4.739 4.739
Au 3.159 3.159 3.159


# 4
4
Lattice="0.000 3.170 3.170 3.170 0.000 3.170 3.170 3.170 0.000" Properties=species:S:1:pos:R:3 comment="HgOs2Ru, optimized geometry, DFT GGA-PBE" magnetic_moment_mub_per_fu=2.0 ef_mev_per_atom=938 n_ef_per_ev_fu=1.85 pbc="T T T"
Hg 0.000 0.000 0.000
Os 3.170 3.170 3.170
Os 4.755 4.755 4.755
Ru 1.585 1.585 1.585


# 5
5
Lattice="5.835 0.000 0.000 0.000 5.835 0.000 0.000 0.000 5.911" Properties=species:S:1:pos:R:3 comment="BaCoAs2Se, optimized geometry, DFT GGA-PBE" formation_energy_uncorrected_ev_per_atom=1.5084 magnetic_moment_mub_per_fu=3.2 relative_energy_mev_per_atom=1957 n_ef_per_ev_fu=9.08 pbc="T T T"
Ba 0.000 0.000 0.000
Co 2.918 2.918 2.955
As 0.000 2.918 0.000
As 2.918 0.000 0.000
Se 0.000 0.000 2.955


# 6
29
Lattice="0.000 7.889 7.889 7.889 0.000 7.889 7.889 7.889 0.000" Properties=species:S:1:pos:R:3 comment="Dy6Tm16Th7, optimized geometry, DFT GGA-PBE" magnetic_moment_mub_per_fu=0.0 ef_mev_per_atom=271 n_ef_per_ev_fu=50.77 pbc="T T T"
Dy 7.889 7.889 3.876
Dy 7.889 3.876 7.889
Dy 11.901 7.889 7.889
Dy 3.876 7.889 7.889
Dy 7.889 11.901 7.889
Dy 7.889 7.889 11.901
Tm 9.927 5.850 5.850
Tm 2.427 2.427 2.427
Tm 5.462 5.462 2.427
Tm 5.462 2.427 5.462
Tm 5.850 5.850 5.850
Tm 9.927 9.927 5.850
Tm 9.927 5.850 9.927
Tm 13.350 10.315 10.315
Tm 2.427 5.462 5.462
Tm 5.850 9.927 5.850
Tm 5.850 5.850 9.927
Tm 9.927 9.927 9.927
Tm 10.315 13.350 10.315
Tm 10.315 10.315 13.350
Tm 13.350 13.350 13.350
Tm 5.850 9.927 9.927
Th 3.944 3.944 0.000
Th 3.944 0.000 3.944
Th 7.889 3.944 3.944
Th 0.000 3.944 3.944
Th 3.944 7.889 3.944
Th 3.944 3.944 7.889
Th 7.889 7.889 7.889


# 7
12
Lattice="4.389 0.000 0.000 0.000 8.732 0.000 0.000 0.000 6.508" Properties=species:S:1:pos:R:3 comment="LiMg2GaHg2, optimized geometry, DFT GGA-PBE" magnetic_moment_mub_per_fu=0.0 ef_mev_per_atom=-197 n_ef_per_ev_fu=1.90 pbc="T T T"
Li 0.000 0.661 0.000
Li 0.000 8.071 3.254
Mg 0.000 2.474 2.913
Mg 0.000 6.258 6.167
Mg 2.194 3.835 0.950
Mg 2.194 4.897 4.204
Ga 2.194 1.770 4.879
Ga 2.194 6.962 1.625
Hg 0.000 3.438 5.641
Hg 0.000 5.294 2.387
Hg 2.194 0.967 1.878
Hg 2.194 7.765 5.132


# 8
4
Lattice="2.821 0.000 0.000 0.000 2.821 0.000 0.000 0.000 7.807" Properties=species:S:1:pos:R:3 comment="Ir3Cl, optimized geometry, DFT GGA-PBE" formation_energy_uncorrected_ev_per_atom=0.6115 magnetic_moment_mub_per_fu=0.0 relative_energy_mev_per_atom=143 n_ef_per_ev_fu=5.48 pbc="T T T"
Ir 0.000 0.000 0.000
Ir 1.410 1.410 1.807
Ir 1.410 1.410 6.000
Cl 0.000 0.000 3.903


# 9
9
Lattice="-1.225 3.493 6.140 1.225 -3.493 6.140 1.225 3.493 -6.140" Properties=species:S:1:pos:R:3 comment="ZnCo8, optimized geometry, DFT GGA-PBE" magnetic_moment_mub_per_fu=12.2 ef_mev_per_atom=210 n_ef_per_ev_fu=9.43 pbc="T T T"
Zn 0.000 0.000 0.000
Co 1.225 -2.241 3.986
Co 0.000 2.370 0.000
Co 0.000 0.000 4.282
Co 0.000 1.251 2.155
Co 1.225 2.241 3.986
Co 0.000 0.000 7.999
Co 0.000 4.615 0.000
Co 0.000 5.734 2.155


# 10
20
Lattice="4.165 -6.119 0.000 4.165 6.119 0.000 -1.047 0.000 4.802" Properties=species:S:1:pos:R:3 comment="AcInH6Ir2, optimized geometry, DFT GGA-PBE" energy_ev_per_atom=-4.762 magnetic_moment_mub_per_fu=0.0 n_ef_per_ev_fu=1.18 pbc="T T T"
Ac 3.380 4.038 3.601
Ac 3.903 -4.038 1.200
In 3.903 0.711 1.200
In 3.380 -0.711 3.601
H 2.193 2.202 0.262
H 1.779 2.064 2.934
H 1.034 0.009 0.186
H 0.510 -0.009 2.587
H 1.669 -2.202 2.663
H 2.303 -2.064 0.533
H 4.980 2.064 4.268
H 5.614 2.202 2.139
H 6.773 0.009 2.215
H 6.250 -0.009 4.616
H 5.504 -2.064 1.867
H 5.091 -2.202 4.540
Ir 1.081 1.003 3.986
Ir 1.604 -1.003 1.585
Ir 5.679 1.003 3.216
Ir 6.203 -1.003 0.816


# 11
8
Lattice="-2.396 2.396 8.471 2.396 -2.396 8.471 2.396 2.396 -8.471" Properties=species:S:1:pos:R:3 comment="Ti2IBr, optimized geometry, DFT GGA-PBE" formation_energy_uncorrected_ev_per_atom=0.1116 magnetic_moment_mub_per_fu=2.4 relative_energy_mev_per_atom=22 n_ef_per_ev_fu=4.37 pbc="T T T"
Ti 3.594 0.988 -2.118
Ti 0.988 1.198 2.118
Ti -1.198 1.408 6.353
Ti 1.408 1.198 10.588
I 2.396 0.000 4.235
I 0.000 0.000 8.471
Br 0.000 0.000 0.000
Br 0.000 2.396 4.235


# 12
3
Lattice="0.000 3.483 3.483 3.483 0.000 3.483 3.483 3.483 0.000" Properties=species:S:1:pos:R:3 comment="SrPSe, optimized geometry, DFT GGA-PBE" formation_energy_uncorrected_ev_per_atom=-0.3856 magnetic_moment_mub_per_fu=0.0 n_ef_per_ev_fu=2.71 pbc="T T T"
Sr 0.000 0.000 0.000
P 5.224 5.224 5.224
Se 3.483 3.483 3.483


# 13
4
Lattice="2.346 1.354 7.540 -2.346 1.354 7.540 0.000 -2.708 7.540" Properties=species:S:1:pos:R:3 comment="BaScBi2, optimized geometry, DFT GGA-PBE" magnetic_moment_mub_per_fu=0.0 ef_mev_per_atom=-675 relative_energy_mev_per_atom=15 n_ef_per_ev_fu=3.17 pbc="T T T"
Ba 0.000 0.000 0.000
Sc 0.000 0.000 11.311
Bi 0.000 0.000 5.210
Bi 0.000 0.000 17.411


# 14
12
Lattice="7.938 0.000 0.000 -3.969 6.875 0.000 0.000 0.000 3.781" Properties=species:S:1:pos:R:3 comment="NdGa9Co2, optimized geometry, DFT GGA-PBE" magnetic_moment_mub_per_fu=0.0 ef_mev_per_atom=-299 relative_energy_mev_per_atom=0 n_ef_per_ev_fu=4.77 pbc="T T T"
Nd 0.000 0.000 0.000
Ga -1.984 3.437 0.000
Ga 0.000 2.820 1.890
Ga -1.526 5.464 1.890
Ga 2.443 1.410 1.890
Ga 3.969 0.000 0.000
Ga 1.984 3.437 0.000
Ga 1.526 5.464 1.890
Ga 5.495 1.410 1.890
Ga 3.969 4.054 1.890
Co 0.000 4.583 0.000
Co 3.969 2.291 0.000


# 15
4
Lattice="-2.249 2.249 5.420 2.249 -2.249 5.420 2.249 2.249 -5.420" Properties=species:S:1:pos:R:3 comment="Sr2FeAs, optimized geometry, DFT GGA-PBE" magnetic_moment_mub_per_fu=2.7 ef_mev_per_atom=61 n_ef_per_ev_fu=4.66 pbc="T T T"
Sr 0.000 0.000 0.000
Sr 0.000 2.249 2.710
Fe 0.000 0.000 5.420
As 2.249 0.000 2.710


# 16
5
Lattice="1.871 -7.216 0.000 1.871 7.216 0.000 0.000 0.000 3.664" Properties=species:S:1:pos:R:3 comment="Pu2Co2Hg, optimized geometry, DFT GGA-PBE" magnetic_moment_mub_per_fu=9.2 ef_mev_per_atom=-97 n_ef_per_ev_fu=15.69 pbc="T T T"
Pu 1.871 5.143 0.000
Pu 1.871 -5.143 0.000
Co 1.871 2.750 1.832
Co 1.871 -2.750 1.832
Hg 1.871 0.000 1.832


# 17
4
Lattice="0.000 3.840 3.840 3.840 0.000 3.840 3.840 3.840 0.000" Properties=species:S:1:pos:R:3 comment="LuThInPb, optimized geometry, DFT GGA-PBE" magnetic_moment_mub_per_fu=0.0 ef_mev_per_atom=-238 n_ef_per_ev_fu=3.56 pbc="T T T"
Lu 0.000 0.000 0.000
Th 3.840 3.840 3.840
In 5.760 5.760 5.760
Pb 1.920 1.920 1.920


# 18
5
Lattice="-2.254 2.254 5.394 2.254 -2.254 5.394 2.254 2.254 -5.394" Properties=species:S:1:pos:R:3 comment="Sc2SbPt2, optimized geometry, DFT GGA-PBE" formation_energy_uncorrected_ev_per_atom=-0.8352 magnetic_moment_mub_per_fu=0.0 relative_energy_mev_per_atom=245 n_ef_per_ev_fu=2.70 pbc="T T T"
Sc 2.254 0.000 2.697
Sc 0.000 2.254 2.697
Sb 0.000 0.000 0.000
Pt 0.000 0.000 4.100
Pt 0.000 0.000 6.688


# 19
4
Lattice="4.900 0.000 0.000 0.000 3.368 0.000 -0.271 0.000 5.094" Properties=species:S:1:pos:R:3 comment="MnCoSe2, optimized geometry, DFT GGA-PBE" formation_energy_uncorrected_ev_per_atom=-0.0729 magnetic_moment_mub_per_fu=3.9 relative_energy_mev_per_atom=280 n_ef_per_ev_fu=1.71 pbc="T T T"
Mn 0.000 0.000 0.000
Co -0.136 0.000 2.547
Se 1.016 1.684 3.698
Se 3.613 1.684 1.396


# 20
14
Lattice="8.846 -1.693 0.000 8.846 1.693 0.000 -2.672 0.000 9.054" Properties=species:S:1:pos:R:3 comment="KNb5S8, optimized geometry, DFT GGA-PBE" formation_energy_uncorrected_ev_per_atom=-1.1215 magnetic_moment_mub_per_fu=0.0 n_ef_per_ev_fu=6.73 pbc="T T T"
K 0.000 0.000 0.000
Nb 1.681 0.000 4.825
Nb 1.427 0.000 8.261
Nb 7.810 0.000 4.815
Nb 13.647 0.000 1.520
Nb 13.150 0.000 4.870
S -0.317 0.000 6.430
S 3.604 0.000 3.146
S 6.249 0.000 0.440
S 5.561 0.000 6.241
S 9.580 0.000 3.185
S 11.514 0.000 0.306
S 11.402 0.000 6.571
S 15.361 0.000 3.470


# 21
4
Lattice="2.682 -3.628 0.000 2.682 3.628 0.000 -0.069 0.000 2.666" Properties=species:S:1:pos:R:3 comment="BeCoW2, optimized geometry, DFT GGA-PBE" magnetic_moment_mub_per_fu=0.0 ef_mev_per_atom=183 n_ef_per_ev_fu=3.24 pbc="T T T"
Be 0.000 0.000 0.000
Co 2.682 0.000 0.000
W 1.306 1.814 1.333
W 1.306 -1.814 1.333


# 22
12
Lattice="0.000 4.667 8.052 3.681 0.000 8.052 3.681 4.667 0.000" Properties=species:S:1:pos:R:3 comment="LiNd2Au3, optimized geometry, DFT GGA-PBE" magnetic_moment_mub_per_fu=0.0 ef_mev_per_atom=-677 relative_energy_mev_per_atom=0 n_ef_per_ev_fu=4.35 pbc="T T T"
Li 3.681 4.667 2.705
Li 3.681 4.667 13.399
Nd 1.840 2.333 4.026
Nd 5.508 4.667 8.052
Nd 1.854 4.667 8.052
Nd 5.521 7.000 12.077
Au 3.681 2.186 6.640
Au 3.681 2.186 9.464
Au 3.681 4.667 5.259
Au 3.681 4.667 10.844
Au 3.681 7.147 6.640
Au 3.681 7.147 9.464


# 23
12
Lattice="5.744 -7.464 0.000 5.744 7.464 0.000 -2.193 0.000 4.559" Properties=species:S:1:pos:R:3 comment="KBi6Pb5, optimized geometry, DFT GGA-PBE" magnetic_moment_mub_per_fu=0.0 ef_mev_per_atom=-18 n_ef_per_ev_fu=6.07 pbc="T T T"
K 0.000 0.000 0.000
Bi 2.389 2.482 1.172
Bi 1.346 0.000 3.463
Bi 2.389 -2.482 1.172
Bi 6.905 2.482 3.387
Bi 7.948 0.000 1.096
Bi 6.905 -2.482 3.387
Pb 4.647 4.831 2.280
Pb 5.744 2.549 0.000
Pb 4.647 0.000 2.280
Pb 5.744 -2.549 0.000
Pb 4.647 -4.831 2.280


# 24
8
Lattice="-3.504 3.504 2.909 3.504 -3.504 2.909 3.504 3.504 -2.909" Properties=species:S:1:pos:R:3 comment="AlCr2Se, optimized geometry, DFT GGA-PBE" formation_energy_uncorrected_ev_per_atom=0.4296 magnetic_moment_mub_per_fu=6.9 relative_energy_mev_per_atom=425 n_ef_per_ev_fu=2.16 pbc="T T T"
Al 0.000 0.000 0.000
Al 0.000 3.504 1.454
Cr 1.752 -1.614 2.182
Cr 1.891 1.752 0.727
Cr 1.752 5.118 -0.727
Cr 1.614 1.752 3.636
Se 3.504 0.000 1.454
Se 0.000 0.000 2.909


# 25
4
Lattice="1.626 0.939 8.538 -1.626 0.939 8.538 0.000 -1.877 8.538" Properties=species:S:1:pos:R:3 comment="Mn2TlAu, optimized geometry, DFT GGA-PBE" magnetic_moment_mub_per_fu=8.3 ef_mev_per_atom=367 relative_energy_mev_per_atom=117 n_ef_per_ev_fu=2.41 pbc="T T T"
Mn 0.000 0.000 6.237
Mn 0.000 0.000 19.377
Tl 0.000 0.000 0.000
Au 0.000 0.000 12.807